# BaSr2TlCu

Crystalline BaSr2TlCu at its relaxed geometry (PBE, Alexandria).

## Properties
The calculation puts the total moment at 0.000 μB per atom. As for the energy relative to the lowest polymorph listed for this composition: 0.0 kJ per mole of atoms. The formation enthalpy at 0 K is -0.028 eV/atom.

Lattice parameters (Å, degrees): 6.0201 6.0201 5.3154 90.00 90.00 90.00
Space group P4/mmm (No. 123)
Inequivalent atoms, fractional coordinates:
Ba 0.0000 0.0000 0.0000 (multiplicity 1)
Sr 0.0000 0.5000 0.5000 (multiplicity 2)
Tl 0.5000 0.5000 0.0000 (multiplicity 1)
Cu 0.5000 0.5000 0.5000 (multiplicity 1)